1.
First-principles (PBE-GGA) data for a relaxed structure of Sr3Ac3YS8, as listed in Alexandria.

Geometry as CIF:
```
data_Sr3Ac3YS8
_cell_length_a 8.515
_cell_length_b 8.515
_cell_length_c 8.543
_cell_angle_alpha 119.90
_cell_angle_beta 90.00
_cell_angle_gamma 120.00
_symmetry_space_group_name_H-M 'P 1'
_symmetry_Int_Tables_number 1
loop_
_symmetry_equiv_pos_as_xyz
'x,y,z'
loop_
_atom_site_label
_atom_site_type_symbol
_atom_site_fract_x
_atom_site_fract_y
_atom_site_fract_z
Sr1 Sr 0.000 0.000 0.000
Sr2 Sr 0.000 0.500 0.000
Sr3 Sr 0.500 0.500 0.000
Ac1 Ac 0.500 0.000 0.500
Ac2 Ac 0.500 0.500 0.500
Ac3 Ac 0.000 0.500 0.500
Y1 Y 0.000 0.000 0.500
S1 S 0.249 0.497 0.246
S2 S 0.751 0.503 0.754
S3 S 0.768 0.536 0.269
S4 S 0.232 0.464 0.731
S5 S 0.768 0.001 0.269
S6 S 0.232 0.999 0.731
S7 S 0.233 0.001 0.269
S8 S 0.767 0.999 0.731
```

Calculated values
space-group type = R-3m (166)

***

2.
First-principles (PBE-GGA) data for a relaxed structure of SrAc2ZnS5, as listed in Alexandria.

Geometry as CIF:
```
data_SrAc2ZnS5
_cell_length_a 8.184
_cell_length_b 8.184
_cell_length_c 8.956
_cell_angle_alpha 117.19
_cell_angle_beta 117.19
_cell_angle_gamma 90.00
_symmetry_space_group_name_H-M 'P 1'
_symmetry_Int_Tables_number 1
loop_
_symmetry_equiv_pos_as_xyz
'x,y,z'
loop_
_atom_site_label
_atom_site_type_symbol
_atom_site_fract_x
_atom_site_fract_y
_atom_site_fract_z
Sr1 Sr 0.250 0.250 0.500
Sr2 Sr 0.750 0.750 0.500
Ac1 Ac 0.162 0.338 0.000
Ac2 Ac 0.662 0.162 0.000
Ac3 Ac 0.338 0.838 0.000
Ac4 Ac 0.838 0.662 0.000
Zn1 Zn 0.250 0.750 0.500
Zn2 Zn 0.750 0.250 0.500
S1 S 0.989 0.489 0.282
S2 S 0.707 0.207 0.718
S3 S 0.011 0.511 0.718
S4 S 0.207 0.011 0.718
S5 S 0.511 0.707 0.718
S6 S 0.793 0.989 0.282
S7 S 0.489 0.293 0.282
S8 S 0.293 0.793 0.282
S9 S 0.500 0.500 0.000
S10 S 0.000 0.000 0.000
```

Calculated values
space-group type = I4/mcm (140)

***

The records above give, respectively, V values of 29.25, 25.43 A^3/atom.
The records above give, respectively, energy values of -88.112, -48.104 eV/f.u..